1.
Computed, not measured: crystalline Ba3Al5Si2 at its relaxed geometry at the GGA-PBE level of DFT.

The crystal system is orthorhombic. For the formation energy (no corrections), the calculation gives -143 kJ/mol of formula units. The raw total energy comes out at -3.68 eV per atom.

The structure belongs to space group Ibam (No. 72); the cell edges are 10.7627, 14.5512 and 6.7246 Å and the angles 90.00°, 90.00° and 90.00°. The inequivalent atoms are Ba at (0.0000, 0.0000, 0.2500), Ba at (0.2327, 0.3671, 0.0000), Al at (0.0000, 0.2469, 0.2500), Al at (0.0000, 0.5000, 0.2500), Al at (0.1223, 0.3720, 0.5000) and Si at (0.1384, 0.1541, 0.0000).

=====

2.
Computed, not measured: crystalline Ca3Cd4Ag4 at its relaxed geometry at the GGA-PBE level of DFT.

Its formation energy is -132 meV per atom. The crystal system is cubic. Its energy above the most stable polymorph in this dataset is 0.095 eV per atom. The raw total energy comes out at -2.05 eV per atom.

The structure belongs to space group I-43m (No. 217); the cell edges are 8.4278, 8.4278 and 8.4278 Å and the angles 90.00°, 90.00° and 90.00°. The inequivalent atoms are Ca at (0.0000, 0.0000, 0.5000), Cd at (0.1278, 0.1278, 0.8722) and Ag at (0.1929, 0.1929, 0.1929).

=====

- Which of these has the highest raw total energy?
  Ca3Cd4Ag4

=====

- Which formula does entry 1 have?
  Ba3Al5Si2

=====

- Which formula does entry 1 have?
  Ba3Al5Si2

=====

- Which of these has the highest raw total energy?
  Ca3Cd4Ag4